# AgSbOs2

AgSbOs2 after structural relaxation (PBE-GGA, Alexandria via LeMat-Bulk).

- Spin magnetization: 0.00 Bohr magnetons per cell
- Raw total energy: -25.78 eV/f.u.
- Formation energy without anion corrections: 88 kJ/mol of atoms

Unit cell a=2.964 b=4.869 c=4.709 alpha=90.00 beta=90.00 gamma=90.00
Sites, in units of the cell vectors:
Sb  0.500  0.000  0.500
Ag  0.000  0.500  0.500
Os  0.500  0.500  0.000
Os  0.000  0.000  0.000

=====

# K3Ac3SiO8

K3Ac3SiO8 after structural relaxation (PBE-GGA, Alexandria via LeMat-Bulk).

- Spin magnetization: 0.00 Bohr magnetons per cell
- Raw total energy: -96.71 eV/f.u.
- Formation energy without anion corrections: -232 kJ/mol of atoms

Unit cell a=7.217 b=7.218 c=7.591 alpha=118.39 beta=90.01 gamma=119.98
Sites, in units of the cell vectors:
K  0.000  0.000  0.000
Ac  0.500  0.500  0.500
O  0.265  0.531  0.296
O  0.794  0.979  0.664
K  0.500  0.500  0.000
O  0.735  0.469  0.704
K  0.000  0.500  0.000
Ac  0.500  0.000  0.500
O  0.815  0.021  0.336
O  0.816  0.631  0.336
Ac  0.000  0.500  0.500
O  0.206  0.021  0.336
Si  0.000  0.000  0.500
O  0.184  0.369  0.664
O  0.185  0.979  0.664

=====

Q: What is the formula in the second record?
A: K3Ac3SiO8